Record 1
The following is a GGA-PBE calculation of an optimized crystal structure of TbAgGe, from OQMD.

Computed properties:
* ρ: 8259 kg/m3
* M_tot: 0.00 μB/atom
* VASP energy: -4.37 eV per atom
* crystal system: hexagonal

Geometry as CIF:
```
data_TbAgGe
_cell_length_a 7.8089
_cell_length_b 7.8089
_cell_length_c 3.8767
_cell_angle_alpha 90.00
_cell_angle_beta 90.00
_cell_angle_gamma 120.00
_space_group_name_H-M_alt 'P -6 2 m'
_space_group_IT_number 189
_space_group_name_Hall 'P -6 -2'
loop_
_atom_site_label
_atom_site_fract_x
_atom_site_fract_y
_atom_site_fract_z
Tb1 0.0000 0.2763 0.0000
Ag1 0.0000 0.6179 0.5000
Ge1 0.0000 0.0000 0.5000
Ge2 0.3333 0.6667 0.0000
```

***

Record 2
The following is a GGA-PBE calculation of an optimized crystal structure of HgPd2Au, from OQMD.

Computed properties:
* ρ: 14642 kg/m3
* energy relative to the elements: -3.80 kcal/mol of atoms
* VASP energy: -3.64 eV per atom
* crystal system: tetragonal

Geometry as CIF:
```
data_HgPd2Au
_cell_length_a 4.601
_cell_length_b 4.601
_cell_length_c 6.541
_cell_angle_alpha 90.00
_cell_angle_beta 90.00
_cell_angle_gamma 90.00
_space_group_name_H-M_alt 'I 4/m m m'
_space_group_IT_number 139
_space_group_name_Hall '-I 4 2'
loop_
_atom_site_label
_atom_site_fract_x
_atom_site_fract_y
_atom_site_fract_z
Hg1 0.000 0.000 0.000
Pd1 0.000 0.500 0.250
Au1 0.000 0.000 0.500
```

***

Record 3
The following is a GGA-PBE calculation of an optimized crystal structure of Ho2ErRe2, from OQMD.

Computed properties:
* ρ: 12164 kg/m3
* energy relative to the elements: 8.15 kcal/mol of atoms
* M_tot: 0.00 μB/atom
* VASP energy: -7.36 eV per atom
* crystal system: trigonal

Geometry as CIF:
```
data_Ho2ErRe2
_cell_length_a 4.8481
_cell_length_b 4.8481
_cell_length_c 5.8316
_cell_angle_alpha 90.00
_cell_angle_beta 90.00
_cell_angle_gamma 120.00
_space_group_name_H-M_alt 'P -3 m 1'
_space_group_IT_number 164
_space_group_name_Hall '-P 3 2"'
loop_
_atom_site_label
_atom_site_fract_x
_atom_site_fract_y
_atom_site_fract_z
Ho1 0.3333 0.6667 0.1378
Er1 0.0000 0.0000 0.5000
Re1 0.3333 0.6667 0.6000
```

***

Record 4
The following is a GGA-PBE calculation of an optimized crystal structure of Hf4AsSN2, from OQMD.

Computed properties:
* ρ: 11916 kg/m3
* M_tot: 0.00 μB/atom
* VASP energy: -9.56 eV per atom
* crystal system: hexagonal

Geometry as CIF:
```
data_Hf4AsSN2
_cell_length_a 3.3640
_cell_length_b 3.3640
_cell_length_c 12.0717
_cell_angle_alpha 90.00
_cell_angle_beta 90.00
_cell_angle_gamma 120.00
_space_group_name_H-M_alt 'P -6 m 2'
_space_group_IT_number 187
_space_group_name_Hall 'P -6 2'
loop_
_atom_site_label
_atom_site_fract_x
_atom_site_fract_y
_atom_site_fract_z
Hf1 0.0000 0.0000 0.1477
Hf2 0.3333 0.6667 0.3435
As1 0.0000 0.0000 0.5000
S1 0.3333 0.6667 0.0000
N1 0.6667 0.3333 0.2460
```

***

Please write out number 3 again, unchanged.
The following is a GGA-PBE calculation of an optimized crystal structure of Ho2ErRe2, from OQMD.

Computed properties:
* ρ: 12164 kg/m3
* energy relative to the elements: 8.15 kcal/mol of atoms
* M_tot: 0.00 μB/atom
* VASP energy: -7.36 eV per atom
* crystal system: trigonal

Geometry as CIF:
```
data_Ho2ErRe2
_cell_length_a 4.8481
_cell_length_b 4.8481
_cell_length_c 5.8316
_cell_angle_alpha 90.00
_cell_angle_beta 90.00
_cell_angle_gamma 120.00
_space_group_name_H-M_alt 'P -3 m 1'
_space_group_IT_number 164
_space_group_name_Hall '-P 3 2"'
loop_
_atom_site_label
_atom_site_fract_x
_atom_site_fract_y
_atom_site_fract_z
Ho1 0.3333 0.6667 0.1378
Er1 0.0000 0.0000 0.5000
Re1 0.3333 0.6667 0.6000
```

***

- Number 2 is which compound?
  HgPd2Au